Li2In2GeS6: single point on PBEsol structure, SCAN.

As for the uncorrected formation energy: -889 meV/atom. The calculation puts the energy at -1.0570 Ry per atom. Its size of the total moment is 0.0 μB per cell.

The structure belongs to space group Cc (No. 9); the cell edges are 12.1556, 7.0808 and 12.1249 Å and the angles 90.00°, 110.30° and 90.00°. The asymmetric unit holds Li at (0.0000, 0.1028, 0.0000), Li at (0.2086, 0.2951, 0.6609), In at (0.0227, 0.4051, 0.3112), In at (0.3442, 0.0756, 0.0052), Ge at (0.2745, 0.2341, 0.2488), S at (0.0167, 0.2519, 0.4920), S at (0.1969, 0.2639, 0.0566), S at (0.2035, 0.0229, 0.8007), S at (0.2273, 0.4860, 0.3299), S at (0.3955, 0.2236, 0.6190) and S at (0.4667, 0.2466, 0.3050).

ZrScRh2: single point on PBEsol structure, SCAN.

Its calculated formation energy is -0.95 eV per atom. The calculation puts the energy at -2.1366 Ry per atom. Its size of the total moment is 0.0 μB per cell.

The structure belongs to space group Amm2 (No. 38); the cell edges are 4.4551, 3.1550 and 9.7657 Å and the angles 90.00°, 90.00° and 90.00°. The asymmetric unit holds Zr at (0.0000, 0.0000, 0.0000), Sc at (0.5000, 0.0000, 0.2819), Rh at (0.0000, 0.0000, 0.7344) and Rh at (0.5000, 0.0000, 0.5494).

PIrW2: single point on PBEsol structure, SCAN.

Its calculated formation energy is 0.00 eV per atom. The calculation puts the energy at -4.0582 Ry per atom. Its size of the total moment is 0.0 μB per cell.

The structure belongs to space group P2/m (No. 10); the cell edges are 2.7724, 3.9260 and 5.3973 Å and the angles 90.00°, 102.48° and 90.00°. The asymmetric unit holds P at (0.0000, 0.0000, 0.0000), Ir at (0.0000, 0.0000, 0.5000) and W at (0.4054, 0.5000, 0.2367).

K2InAgBr6: single point on PBEsol structure, SCAN.

As for the uncorrected formation energy: -1203 meV/atom. The calculation puts the energy at -1.5449 Ry per atom. Its size of the total moment is 0.0 μB per cell.

The structure belongs to space group Fm-3m (No. 225); the cell edges are 10.8078, 10.8078 and 10.8078 Å and the angles 90.00°, 90.00° and 90.00°. The asymmetric unit holds K at (0.2500, 0.2500, 0.2500), In at (0.0000, 0.0000, 0.0000), Ag at (0.0000, 0.0000, 0.5000) and Br at (0.0000, 0.0000, 0.2475).